(1)
Entry from Alexandria via LeMat-Bulk: Ba3SrIn2 after structural relaxation (PBE).

```
Ba3SrIn2
1.0
-2.4764 -3.3362 4.2158
6.7014 0.4489 4.2917
-3.7976 9.1085 4.9772
In Sr Ba
4 2 6
Cartesian
-0.5478 5.9475 4.3847
0.3539 6.4286 9.4503
-0.3129 -0.2332 3.7869
3.8596 3.6373 5.1455
0.1727 3.6230 7.1237
-2.7602 2.3963 4.4302
-0.4064 8.7931 6.7196
2.6124 0.2720 5.9050
6.3018 0.9648 4.4651
0.9390 3.0965 3.0020
-3.1714 5.8832 6.9480
2.9530 6.5271 6.8997
```

Results
ΔH_f (0 K): -305 meV/atom
Theoretical density: 4.64 g cm⁻³
Symmetry: No. 26
VASP energy: -2.46 eV/atom


(2)
Entry from Alexandria via LeMat-Bulk: Ba2SrIn after structural relaxation (PBE).

```
Ba2SrIn
1.0
7.9280 0.0189 -0.0141
6.7414 4.1722 -0.0141
2.6576 0.7593 5.8650
In Sr Ba
1 1 2
Cartesian
8.7332 2.4951 2.8843
3.7061 1.0589 1.7672
14.6284 4.1794 -0.0098
13.5923 3.8834 4.0853
```

Results
ΔH_f (0 K): -200 meV/atom
Theoretical density: 4.10 g cm⁻³
Symmetry: No. 44
VASP energy: -2.27 eV/atom